(1)
# La7Ce2Dy2

Crystalline La7Ce2Dy2 at its relaxed geometry (PBE, the Alexandria database).

Cell lengths 12.742, 7.024, 9.275 Å; angles 90.00, 114.62, 90.00 degrees
Space group C2/m (No. 12)
Unique sites:
La1 0.000 0.000 0.000 x2
La2 0.004 0.500 0.185 x4
La3 0.234 0.222 0.820 x8
Ce1 0.000 0.203 0.500 x4
Dy1 0.235 0.000 0.464 x4

Summary:
**Crystal system**: monoclinic
**Formation energy**: 2.0 eV/f.u.



(2)
# Ti12CrSb6

Crystalline Ti12CrSb6 at its relaxed geometry (PBE, the Alexandria database).

Cell lengths 11.5618, 11.5618, 10.0453 Å; angles 90.00, 90.00, 120.00 degrees
Space group R-3 (No. 148, hexagonal axes)
Unique sites:
Ti1 0.0225 0.1562 0.3747 x18
Ti2 0.0754 0.1908 0.8747 x18
Cr1 0.0000 0.0000 0.0000 x3
Sb1 0.0316 0.2934 0.6299 x18

Summary:
**Crystal system**: trigonal
**Formation energy from raw total energies**: -0.07 eV per atom



(3)
# NpPdW

Crystalline NpPdW at its relaxed geometry (PBE, the Alexandria database).

Cell lengths 2.761, 5.131, 7.991 Å; angles 90.00, 90.00, 90.00 degrees
Space group Pmmn (No. 59, origin choice 2)
Unique sites:
Np1 0.250 0.250 0.214 x2
Pd1 0.250 0.250 0.855 x2
W1 0.250 0.750 0.458 x2

Summary:
**Crystal system**: orthorhombic
**Formation energy**: 0.9 eV/f.u.



(4)
# Ta2InRh

Crystalline Ta2InRh at its relaxed geometry (PBE, the Alexandria database).

Cell lengths 6.588, 6.588, 6.588 Å; angles 90.00, 90.00, 90.00 degrees
Space group F-43m (No. 216)
Unique sites:
Ta1 0.000 0.000 0.000 x4
Ta2 0.250 0.250 0.250 x4
In1 0.000 0.000 0.500 x4
Rh1 0.250 0.250 0.750 x4

Summary:
**Crystal system**: cubic
**Formation energy**: 0.4 eV/f.u.



(5)
# Ta2CdHg

Crystalline Ta2CdHg at its relaxed geometry (PBE, the Alexandria database).

Cell lengths 3.086, 5.158, 9.932 Å; angles 90.00, 90.00, 90.00 degrees
Space group Imm2 (No. 44)
Unique sites:
Ta1 0.000 0.000 0.000 x2
Ta2 0.000 0.500 0.273 x2
Cd1 0.000 0.500 0.764 x2
Hg1 0.000 0.000 0.518 x2

Summary:
**Crystal system**: orthorhombic
**Formation energy**: 1.6 eV/f.u.
**Excess energy over the best structure of this formula in the dataset**: 0.236 eV per atom



(6)
# Nd5HoBi4

Crystalline Nd5HoBi4 at its relaxed geometry (PBE, the Alexandria database).

Cell lengths 19.482, 4.490, 8.761 Å; angles 90.00, 105.64, 90.00 degrees
Space group C2/m (No. 12)
Unique sites:
Nd1 0.000 0.000 0.000 x2
Nd2 0.164 0.500 0.319 x4
Nd3 0.177 0.500 0.851 x4
Ho1 0.000 0.000 0.500 x2
Bi1 0.007 0.500 0.750 x4
Bi2 0.167 0.000 0.584 x4

Summary:
**Crystal system**: monoclinic
**Formation energy**: -5.5 eV/f.u.



(7)
# KSrInBr6

Crystalline KSrInBr6 at its relaxed geometry (PBE, the Alexandria database).

Cell lengths 7.5928, 7.5928, 13.9873 Å; angles 90.00, 90.00, 120.00 degrees
Space group P-31c (No. 163)
Unique sites:
K1 0.0000 0.0000 0.0000 x2
Sr1 0.3333 0.6667 0.2500 x2
In1 0.3333 0.6667 0.7500 x2
Br1 0.0343 0.3830 0.6356 x12

Summary:
**Crystal system**: trigonal
**Formation energy from raw total energies**: -1.46 eV per atom



(8)
# Cu3AgCl6

Crystalline Cu3AgCl6 at its relaxed geometry (PBE, the Alexandria database).

Cell lengths 8.888, 12.401, 3.778 Å; angles 90.00, 90.00, 90.00 degrees
Space group Cmmm (No. 65)
Unique sites:
Cu1 0.000 0.000 0.000 x2
Cu2 0.250 0.250 0.500 x4
Ag1 0.000 0.500 0.000 x2
Cl1 0.000 0.336 0.500 x4
Cl2 0.183 0.128 0.000 x8

Summary:
**Crystal system**: orthorhombic
**Formation energy from raw total energies**: -0.43 eV per atom
**Excess energy over the best structure of this formula in the dataset**: 0.012 eV per atom



| no. | total magnetic moment (μB per formula unit) | calculated volume (Å³/f.u.) |
| --- | --- | --- |
| 1 | 1.5 | 377 |
| 2 | 0.0 | 388 |
| 3 | 3.8 | 57 |
| 4 | 1.3 | 71 |
| 5 | 0.0 | 79 |
| 6 | 0.0 | 369 |
| 7 | 0.0 | 349 |
| 8 | 0.0 | 208 |